Here is a relaxed Pr3PaP4 crystal from the Alexandria database. Energies are from PBE.

Calculated values
Energy of formation ... -1.473 eV/atom
M_tot ... 0.0 μB per formula unit
Polymorph energy (0 for the lowest one) ... 0.0 meV/atom

```
data_Pr3PaP4
_space_group_name_H-M_alt 'C m m m'
_space_group_IT_number 65
_space_group_name_Hall '-C 2 2'
_cell_length_a 8.279
_cell_length_b 11.690
_cell_length_c 4.135
_cell_angle_alpha 90.00
_cell_angle_beta 90.00
_cell_angle_gamma 90.00
loop_
_atom_site_label
_atom_site_type_symbol
_atom_site_fract_x
_atom_site_fract_y
_atom_site_fract_z
_atom_site_occupancy
Pr1 Pr 0.000 0.000 0.000 1
Pr2 Pr 0.250 0.250 0.500 1
Pa1 Pa 0.000 0.500 0.000 1
P1 P 0.000 0.260 0.000 1
P2 P 0.235 0.500 0.500 1
```